Here is a PBEsol-optimized structure of Y2CrSb from the Alexandria database. Energies are from meta-GGA SCAN.

The structure in extended XYZ format:
```
4
Lattice="-2.285 2.285 4.473 2.285 -2.285 4.473 2.285 2.285 -4.473" Properties=species:S:1:pos:R:3 pbc="T T T"
Y 2.285 0.000 2.236
Y 0.000 2.285 2.236
Cr 0.000 0.000 0.000
Sb 0.000 0.000 4.473
```

Calculated values
* mass density: 6.248 g/cm³
* formation energy from raw total energies: -0.425 eV per atom
* space-group type: No. 139
* energy: -113.03 eV per formula unit

Here is a PBEsol-optimized structure of LaHPt2 from the Alexandria database. Energies are from meta-GGA SCAN.

The structure in extended XYZ format:
```
4
Lattice="0.000 3.285 3.285 3.285 0.000 3.285 3.285 3.285 0.000" Properties=species:S:1:pos:R:3 pbc="T T T"
La 0.000 0.000 0.000
H 3.285 3.285 3.285
Pt 1.643 1.643 1.643
Pt 4.928 4.928 4.928
```

Calculated values
* mass density: 12.410 g/cm³
* space-group type: No. 225
* energy: -186.69 eV per formula unit

Here is a PBEsol-optimized structure of AgAu2 from the Alexandria database. Energies are from meta-GGA SCAN.

The structure in extended XYZ format:
```
12
Lattice="5.781 0.000 0.000 0.000 4.000 0.000 0.000 0.000 8.693" Properties=species:S:1:pos:R:3 pbc="T T T"
Ag 0.722 1.000 0.717
Ag 2.169 3.000 5.063
Ag 3.612 1.000 3.630
Ag 5.059 3.000 7.977
Au 0.717 1.000 3.617
Au 0.732 1.000 6.531
Au 2.159 3.000 2.185
Au 2.173 3.000 7.964
Au 3.608 1.000 0.730
Au 3.622 1.000 6.508
Au 5.049 3.000 2.162
Au 5.064 3.000 5.076
```

Calculated values
* mass density: 16.582 g/cm³
* distance to the lowest polymorph of the same formula: 1 meV/atom
* space-group type: No. 62
* E_form: -73 meV per atom
* energy: -169.90 eV per formula unit

Here is a PBEsol-optimized structure of NbNiAsBr2 from the Alexandria database. Energies are from meta-GGA SCAN.

The structure in extended XYZ format:
```
5
Lattice="5.003 0.000 0.000 0.000 5.003 0.000 0.000 0.000 5.090" Properties=species:S:1:pos:R:3 pbc="T T T"
Nb 0.000 0.000 0.000
Ni 2.501 2.501 2.545
As 0.000 0.000 2.545
Br 0.000 2.501 0.000
Br 2.501 0.000 0.000
```

Calculated values
* mass density: 5.036 g/cm³
* formation energy from raw total energies: 0.509 eV per atom
* space-group type: No. 123
* energy: -105.87 eV per formula unit

Repeat the first record exactly.
Here is a PBEsol-optimized structure of Y2CrSb from the Alexandria database. Energies are from meta-GGA SCAN.

The structure in extended XYZ format:
```
4
Lattice="-2.285 2.285 4.473 2.285 -2.285 4.473 2.285 2.285 -4.473" Properties=species:S:1:pos:R:3 pbc="T T T"
Y 2.285 0.000 2.236
Y 0.000 2.285 2.236
Cr 0.000 0.000 0.000
Sb 0.000 0.000 4.473
```

Calculated values
* mass density: 6.248 g/cm³
* formation energy from raw total energies: -0.425 eV per atom
* space-group type: No. 139
* energy: -113.03 eV per formula unit

Number 2 is which compound?
LaHPt2

Repeat the third record exactly.
Here is a PBEsol-optimized structure of AgAu2 from the Alexandria database. Energies are from meta-GGA SCAN.

The structure in extended XYZ format:
```
12
Lattice="5.781 0.000 0.000 0.000 4.000 0.000 0.000 0.000 8.693" Properties=species:S:1:pos:R:3 pbc="T T T"
Ag 0.722 1.000 0.717
Ag 2.169 3.000 5.063
Ag 3.612 1.000 3.630
Ag 5.059 3.000 7.977
Au 0.717 1.000 3.617
Au 0.732 1.000 6.531
Au 2.159 3.000 2.185
Au 2.173 3.000 7.964
Au 3.608 1.000 0.730
Au 3.622 1.000 6.508
Au 5.049 3.000 2.162
Au 5.064 3.000 5.076
```

Calculated values
* mass density: 16.582 g/cm³
* distance to the lowest polymorph of the same formula: 1 meV/atom
* space-group type: No. 62
* E_form: -73 meV per atom
* energy: -169.90 eV per formula unit